## w
The following is a DFT calculation (GGA-PBE) of Dy2Ho3Mg after structural relaxation.

Values from the calculation:
total moment	0.000	μB per formula unit
density of states at the Fermi level	1.29	states/eV per atom
theoretical density	7.77	g/cm3

Cell lengths 6.937, 6.090, 9.221 Å; angles 90.78, 112.10, 90.00 degrees
Sites, in units of the cell vectors:
Dy1 0.789 0.584 0.333
Dy2 0.544 0.084 0.333
Dy3 0.456 0.916 0.667
Dy4 0.211 0.416 0.667
Ho1 0.632 0.250 0.000
Ho2 0.368 0.750 0.000
Ho3 0.041 0.079 0.334
Ho4 0.708 0.421 0.666
Ho5 0.292 0.579 0.334
Ho6 0.959 0.921 0.666
Mg1 0.872 0.750 0.000
Mg2 0.128 0.250 0.000

## x
The following is a DFT calculation (GGA-PBE) of Dy2Ho3Mg after structural relaxation.

Values from the calculation:
total moment	0.000	μB per formula unit
density of states at the Fermi level	1.38	states/eV per atom
theoretical density	7.81	g/cm3

Cell lengths 3.539, 3.539, 14.328 Å; angles 90.00, 90.00, 90.00 degrees
Sites, in units of the cell vectors:
Dy1 0.500 0.500 0.825
Dy2 0.500 0.500 0.175
Ho1 0.000 0.000 0.000
Ho2 0.000 0.000 0.654
Ho3 0.000 0.000 0.346
Mg1 0.500 0.500 0.500

Verdict on stability: w comes out at the bottom.

## w
The following is a DFT calculation (GGA-PBE) of Dy8HoMg2 after structural relaxation.

Values from the calculation:
total moment	0.000	μB per formula unit
density of states at the Fermi level	1.40	states/eV per atom
theoretical density	7.59	g/cm3

Cell lengths 5.308, 8.366, 8.673 Å; angles 114.13, 107.82, 90.00 degrees
Sites, in units of the cell vectors:
Dy1 0.600 0.470 0.199
Dy2 0.312 0.049 0.625
Dy3 0.147 0.202 0.294
Dy4 0.057 0.735 0.113
Dy5 0.853 0.798 0.706
Dy6 0.688 0.951 0.375
Dy7 0.400 0.530 0.801
Dy8 0.943 0.265 0.887
Ho1 0.500 0.000 0.000
Mg1 0.227 0.628 0.454
Mg2 0.773 0.372 0.546

## x
The following is a DFT calculation (GGA-PBE) of Dy8HoMg2 after structural relaxation.

Values from the calculation:
total moment	0.000	μB per formula unit
density of states at the Fermi level	1.26	states/eV per atom
theoretical density	7.36	g/cm3

Cell lengths 5.628, 8.869, 8.869 Å; angles 121.09, 102.34, 102.34 degrees
Sites, in units of the cell vectors:
Dy1 0.870 0.903 0.680
Dy2 0.870 0.680 0.903
Dy3 0.297 0.594 0.594
Dy4 0.500 0.788 0.212
Dy5 0.500 0.212 0.788
Dy6 0.703 0.406 0.406
Dy7 0.130 0.320 0.097
Dy8 0.130 0.097 0.320
Ho1 0.500 0.000 0.000
Mg1 0.000 0.307 0.693
Mg2 0.000 0.693 0.307

Verdict on stability: x comes out at the bottom.

## w
The following is a DFT calculation (GGA-PBE) of Dy2HoMg2 after structural relaxation.

Values from the calculation:
total moment	0.000	μB per formula unit
density of states at the Fermi level	0.86	states/eV per atom
theoretical density	5.92	g/cm3

Cell lengths 7.525, 7.525, 11.774 Å; angles 94.47, 94.47, 151.48 degrees
Sites, in units of the cell vectors:
Dy1 0.140 0.849 0.494
Dy2 0.349 0.640 0.994
Dy3 0.860 0.151 0.506
Dy4 0.651 0.360 0.006
Ho1 0.942 0.558 0.750
Ho2 0.058 0.442 0.250
Mg1 0.264 0.236 0.750
Mg2 0.389 0.111 0.250
Mg3 0.611 0.889 0.750
Mg4 0.736 0.764 0.250

## x
The following is a DFT calculation (GGA-PBE) of Dy2HoMg2 after structural relaxation.

Values from the calculation:
total moment	0.000	μB per formula unit
density of states at the Fermi level	1.09	states/eV per atom
theoretical density	6.38	g/cm3

Cell lengths 3.719, 5.417, 14.029 Å; angles 90.00, 97.62, 90.00 degrees
Sites, in units of the cell vectors:
Dy1 0.044 0.750 0.088
Dy2 0.956 0.250 0.912
Dy3 0.237 0.750 0.474
Dy4 0.763 0.250 0.526
Ho1 0.848 0.750 0.696
Ho2 0.152 0.250 0.304
Mg1 0.639 0.750 0.280
Mg2 0.361 0.250 0.720
Mg3 0.446 0.750 0.892
Mg4 0.554 0.250 0.108

Verdict on stability: w comes out at the bottom.

## w
The following is a DFT calculation (GGA-PBE) of DyHo2Mg4 after structural relaxation.

Values from the calculation:
total moment	0.000	μB per formula unit
density of states at the Fermi level	0.78	states/eV per atom
theoretical density	4.68	g/cm3

Cell lengths 5.435, 5.956, 7.116 Å; angles 114.74, 90.00, 90.00 degrees
Sites, in units of the cell vectors:
Dy1 0.000 0.500 0.000
Ho1 0.500 0.132 0.263
Ho2 0.500 0.868 0.737
Mg1 0.500 0.619 0.238
Mg2 0.000 0.744 0.489
Mg3 0.500 0.381 0.762
Mg4 0.000 0.256 0.511

## x
The following is a DFT calculation (GGA-PBE) of DyHo2Mg4 after structural relaxation.

Values from the calculation:
total moment	0.326	μB per formula unit
density of states at the Fermi level	0.89	states/eV per atom
theoretical density	4.73	g/cm3

Cell lengths 5.371, 5.371, 8.124 Å; angles 109.30, 109.30, 90.00 degrees
Sites, in units of the cell vectors:
Dy1 0.000 0.000 0.000
Ho1 0.750 0.750 0.500
Ho2 0.250 0.250 0.500
Mg1 0.382 0.882 0.764
Mg2 0.882 0.382 0.764
Mg3 0.618 0.118 0.236
Mg4 0.118 0.618 0.236

Verdict on stability: w comes out at the bottom.

## w
The following is a DFT calculation (GGA-PBE) of DyHoMg4 after structural relaxation.

Values from the calculation:
total moment	0.000	μB per formula unit
density of states at the Fermi level	1.03	states/eV per atom
theoretical density	4.55	g/cm3

Cell lengths 3.437, 7.077, 8.550 Å; angles 122.74, 78.41, 75.95 degrees
Sites, in units of the cell vectors:
Dy1 0.500 0.500 0.500
Ho1 0.000 0.000 0.000
Mg1 0.837 0.489 0.838
Mg2 0.338 0.987 0.337
Mg3 0.163 0.511 0.162
Mg4 0.662 0.013 0.663

## x
The following is a DFT calculation (GGA-PBE) of DyHoMg4 after structural relaxation.

Values from the calculation:
total moment	0.000	μB per formula unit
density of states at the Fermi level	1.25	states/eV per atom
theoretical density	4.56	g/cm3

Cell lengths 6.024, 6.024, 6.024 Å; angles 60.00, 60.00, 60.00 degrees
Sites, in units of the cell vectors:
Mg1 0.625 0.625 0.125
Mg2 0.625 0.125 0.625
Mg3 0.625 0.625 0.625
Mg4 0.125 0.625 0.625
Ho1 0.000 0.000 0.000
Dy1 0.250 0.250 0.250

Verdict on stability: w comes out at the bottom.

## w
The following is a DFT calculation (GGA-PBE) of Dy4HoMg7 after structural relaxation.

Values from the calculation:
total moment	0.005	μB per formula unit
density of states at the Fermi level	1.14	states/eV per atom
theoretical density	5.11	g/cm3

Cell lengths 5.293, 5.293, 13.204 Å; angles 90.00, 90.00, 120.00 degrees
Sites, in units of the cell vectors:
Dy1 0.333 0.667 0.921
Dy2 0.667 0.333 0.079
Dy3 0.333 0.667 0.661
Dy4 0.667 0.333 0.339
Ho1 0.000 0.000 0.500
Mg1 0.000 0.000 0.000
Mg2 0.333 0.667 0.418
Mg3 0.667 0.333 0.582
Mg4 0.333 0.667 0.182
Mg5 0.667 0.333 0.818
Mg6 0.000 0.000 0.762
Mg7 0.000 0.000 0.238

## x
The following is a DFT calculation (GGA-PBE) of Dy4HoMg7 after structural relaxation.

Values from the calculation:
total moment	0.000	μB per formula unit
density of states at the Fermi level	1.09	states/eV per atom
theoretical density	4.86	g/cm3

Cell lengths 5.639, 10.809, 6.390 Å; angles 87.01, 63.82, 74.88 degrees
Sites, in units of the cell vectors:
Dy1 0.615 0.221 0.548
Dy2 0.385 0.779 0.452
Dy3 0.757 0.675 0.811
Dy4 0.243 0.325 0.189
Ho1 0.000 0.000 0.000
Mg1 0.779 0.923 0.519
Mg2 0.221 0.077 0.481
Mg3 0.069 0.681 0.181
Mg4 0.931 0.319 0.819
Mg5 0.369 0.505 0.757
Mg6 0.500 0.000 0.000
Mg7 0.631 0.495 0.243

Verdict on stability: x comes out at the bottom.

## w
The following is a DFT calculation (GGA-PBE) of Dy5Ho4Mg after structural relaxation.

Values from the calculation:
total moment	0.000	μB per formula unit
density of states at the Fermi level	1.13	states/eV per atom
theoretical density	7.85	g/cm3

Cell lengths 5.708, 7.976, 7.976 Å; angles 82.64, 69.03, 69.03 degrees
Sites, in units of the cell vectors:
Dy1 0.765 0.372 0.000
Dy2 0.137 0.000 0.628
Dy3 0.765 0.000 0.372
Dy4 0.137 0.628 0.000
Dy5 0.670 0.000 0.000
Ho1 0.461 0.321 0.679
Ho2 0.783 0.679 0.679
Ho3 0.140 0.321 0.321
Ho4 0.461 0.679 0.321
Mg1 0.192 0.000 0.000

## x
The following is a DFT calculation (GGA-PBE) of Dy5Ho4Mg after structural relaxation.

Values from the calculation:
total moment	0.000	μB per formula unit
density of states at the Fermi level	1.32	states/eV per atom
theoretical density	8.16	g/cm3

Cell lengths 3.539, 3.539, 24.314 Å; angles 90.00, 90.00, 90.00 degrees
Sites, in units of the cell vectors:
Dy1 0.500 0.500 0.091
Dy2 0.500 0.500 0.295
Dy3 0.500 0.500 0.500
Dy4 0.500 0.500 0.705
Dy5 0.500 0.500 0.909
Ho1 0.000 0.000 0.192
Ho2 0.000 0.000 0.397
Ho3 0.000 0.000 0.603
Ho4 0.000 0.000 0.808
Mg1 0.000 0.000 0.000

Verdict on stability: w comes out at the bottom.

## w
The following is a DFT calculation (GGA-PBE) of Dy3Ho6Mg after structural relaxation.

Values from the calculation:
total moment	0.000	μB per formula unit
density of states at the Fermi level	1.36	states/eV per atom
theoretical density	8.17	g/cm3

Cell lengths 4.978, 11.045, 11.101 Å; angles 90.29, 90.00, 90.00 degrees
Sites, in units of the cell vectors:
Dy1 0.250 0.551 0.400
Dy2 0.750 0.449 0.600
Dy3 0.250 0.348 0.797
Dy4 0.750 0.652 0.203
Dy5 0.250 0.752 0.003
Dy6 0.750 0.248 0.997
Ho1 0.250 0.449 0.102
Ho2 0.750 0.551 0.898
Ho3 0.250 0.150 0.197
Ho4 0.750 0.850 0.803
Ho5 0.250 0.653 0.700
Ho6 0.750 0.347 0.300
Ho7 0.250 0.246 0.499
Ho8 0.750 0.754 0.501
Ho9 0.250 0.852 0.305
Ho10 0.750 0.148 0.695
Ho11 0.250 0.048 0.899
Ho12 0.750 0.952 0.101
Mg1 0.250 0.951 0.599
Mg2 0.750 0.049 0.401

## x
The following is a DFT calculation (GGA-PBE) of Dy3Ho6Mg after structural relaxation.

Values from the calculation:
total moment	0.000	μB per formula unit
density of states at the Fermi level	1.22	states/eV per atom
theoretical density	8.10	g/cm3

Cell lengths 8.969, 8.725, 8.725 Å; angles 115.63, 90.00, 90.00 degrees
Sites, in units of the cell vectors:
Dy1 0.438 0.967 0.680
Dy2 0.938 0.680 0.967
Dy3 0.423 0.536 0.464
Dy4 0.923 0.464 0.536
Dy5 0.938 0.033 0.320
Dy6 0.438 0.320 0.033
Ho1 0.101 0.850 0.713
Ho2 0.601 0.713 0.850
Ho3 0.269 0.523 0.829
Ho4 0.769 0.829 0.523
Ho5 0.285 0.937 0.063
Ho6 0.653 0.295 0.705
Ho7 0.153 0.705 0.295
Ho8 0.785 0.063 0.937
Ho9 0.269 0.171 0.477
Ho10 0.769 0.477 0.171
Ho11 0.101 0.287 0.150
Ho12 0.601 0.150 0.287
Mg1 0.008 0.237 0.763
Mg2 0.508 0.763 0.237

Verdict on stability: x comes out at the bottom.